(1)
Here is a PBEsol-optimized structure of HfSe3O from Alexandria via LeMat-Bulk. Energies are from SCAN.

Unit cell a=5.0803 b=5.0803 c=5.0803 alpha=90.00 beta=90.00 gamma=90.00
Sites, in units of the cell vectors:
1 Se 0.0000 0.0000 0.5000
2 Se 0.5000 0.0000 0.0000
3 Se 0.0000 0.5000 0.0000
4 O 0.5000 0.5000 0.5000
5 Hf 0.0000 0.0000 0.0000

Calculated values
The value obtained for the formation energy from raw total energies is 106 meV per atom. As for the space-group type: No. 221.


(2)
Here is a PBEsol-optimized structure of BeRuSe2 from Alexandria via LeMat-Bulk. Energies are from SCAN.

Unit cell a=3.3945 b=3.3945 c=6.2976 alpha=73.96 beta=73.96 gamma=63.25
Sites, in units of the cell vectors:
1 Be 0.5000 0.5000 0.0000
2 Se 0.2540 0.2540 0.7629
3 Se 0.7460 0.7460 0.2371
4 Ru 0.0000 0.0000 0.5000

Calculated values
The value obtained for the formation energy from raw total energies is 35 meV per atom. As for the space-group type: No. 12.


(3)
Here is a PBEsol-optimized structure of HgMoS2N from Alexandria via LeMat-Bulk. Energies are from SCAN.

Unit cell a=3.7674 b=4.7991 c=4.7991 alpha=90.00 beta=90.00 gamma=90.00
Sites, in units of the cell vectors:
1 S 0.0000 0.5000 0.0000
2 S 0.0000 0.0000 0.5000
3 Hg 0.5000 0.5000 0.5000
4 N 0.5000 0.0000 0.0000
5 Mo 0.0000 0.0000 0.0000

Calculated values
The value obtained for the formation energy from raw total energies is 128 meV per atom. As for the space-group type: No. 123.


(4)
Here is a PBEsol-optimized structure of Ta2BiPbCl from Alexandria via LeMat-Bulk. Energies are from SCAN.

Unit cell a=4.5765 b=4.5765 c=5.5994 alpha=90.00 beta=90.00 gamma=90.00
Sites, in units of the cell vectors:
1 Bi 0.5000 0.5000 0.5000
2 Cl 0.0000 0.0000 0.0000
3 Ta 0.0000 0.5000 0.0000
4 Ta 0.5000 0.0000 0.0000
5 Pb 0.0000 0.0000 0.5000

Calculated values
The value obtained for the formation energy from raw total energies is 1188 meV per atom. As for the space-group type: No. 123.


(5)
Here is a PBEsol-optimized structure of RbNb2P from Alexandria via LeMat-Bulk. Energies are from SCAN.

Unit cell a=4.8182 b=4.8182 c=9.7002 alpha=104.38 beta=104.38 gamma=90.00
Sites, in units of the cell vectors:
1 P 0.7500 0.2500 0.5000
2 P 0.5000 0.5000 0.0000
3 Nb 0.1250 0.4332 0.7500
4 Nb 0.6832 0.8750 0.2500
5 Nb 0.6250 0.3168 0.7500
6 Nb 0.5668 0.3750 0.2500
7 Rb 0.0000 0.0000 0.0000
8 Rb 0.2500 0.7500 0.5000

Calculated values
The value obtained for the energy relative to the elements is 0.753 eV per atom. As for the space-group type: No. 122.


(6)
Here is a PBEsol-optimized structure of Cu3Ni from Alexandria via LeMat-Bulk. Energies are from SCAN.

Unit cell a=2.4252 b=4.6530 c=4.6530 alpha=117.05 beta=100.01 gamma=100.01
Sites, in units of the cell vectors:
1 Cu 0.5000 0.0000 0.5000
2 Cu 0.5000 0.5000 0.0000
3 Cu 0.0000 0.5000 0.5000
4 Ni 0.0000 0.0000 0.0000

Calculated values
The value obtained for the energy relative to the elements is 0.079 eV per atom. As for the space-group type: No. 166.


(7)
Here is a PBEsol-optimized structure of KTaMn2 from Alexandria via LeMat-Bulk. Energies are from SCAN.

Unit cell a=2.9322 b=4.7682 c=6.9568 alpha=96.25 beta=90.00 gamma=107.91
Sites, in units of the cell vectors:
1 K 0.5000 0.0000 0.0000
2 Ta 0.0000 0.0000 0.5000
3 Mn 0.2679 0.5358 0.4026
4 Mn 0.7321 0.4642 0.5974

Calculated values
For the excess energy over the best structure of this formula in the dataset, the calculation gives 0.0 kJ per mole of atoms. The value obtained for the energy relative to the elements is 0.971 eV per atom. As for the space-group type: No. 12.


(8)
Here is a PBEsol-optimized structure of MnTeCl2 from Alexandria via LeMat-Bulk. Energies are from SCAN.

Unit cell a=3.2524 b=3.2524 c=7.9308 alpha=90.00 beta=90.00 gamma=90.00
Sites, in units of the cell vectors:
1 Te 0.5000 0.5000 0.7270
2 Cl 0.0000 0.0000 0.9735
3 Cl 0.5000 0.5000 0.3162
4 Mn 0.0000 0.0000 0.4832

Calculated values
The value obtained for the formation energy from raw total energies is -446 meV per atom. For the excess energy over the best structure of this formula in the dataset, the calculation gives 0.0 kJ per mole of atoms. As for the space-group type: No. 99.


(9)
Here is a PBEsol-optimized structure of TlSnB2W from Alexandria via LeMat-Bulk. Energies are from SCAN.

Unit cell a=4.2672 b=4.2672 c=5.6887 alpha=90.00 beta=90.00 gamma=90.00
Sites, in units of the cell vectors:
1 Sn 0.0000 0.0000 0.0000
2 W 0.5000 0.5000 0.5000
3 B 0.0000 0.5000 0.0000
4 B 0.5000 0.0000 0.0000
5 Tl 0.0000 0.0000 0.5000

Calculated values
The value obtained for the energy relative to the elements is 2.620 eV per atom. As for the space-group type: No. 123.


(10)
Here is a PBEsol-optimized structure of PmGdAl2 from Alexandria via LeMat-Bulk. Energies are from SCAN.

Unit cell a=5.1133 b=5.1133 c=5.1133 alpha=60.00 beta=60.00 gamma=60.00
Sites, in units of the cell vectors:
1 Al 0.2500 0.2500 0.2500
2 Al 0.7500 0.7500 0.7500
3 Pm 0.0000 0.0000 0.0000
4 Gd 0.5000 0.5000 0.5000

Calculated values
The value obtained for the energy relative to the elements is 0.679 eV per atom. As for the space-group type: No. 225.


(11)
Here is a PBEsol-optimized structure of BaHfTc3 from Alexandria via LeMat-Bulk. Energies are from SCAN.

Unit cell a=4.7991 b=4.7991 c=4.7991 alpha=90.00 beta=90.00 gamma=90.00
Sites, in units of the cell vectors:
1 Hf 0.5000 0.5000 0.5000
2 Tc 0.5000 0.0000 0.0000
3 Tc 0.0000 0.0000 0.5000
4 Tc 0.0000 0.5000 0.0000
5 Ba 0.0000 0.0000 0.0000

Calculated values
The value obtained for the energy relative to the elements is 2.794 eV per atom. As for the space-group type: No. 221.


(12)
Here is a PBEsol-optimized structure of KRu2Se from Alexandria via LeMat-Bulk. Energies are from SCAN.

Unit cell a=3.0104 b=3.0104 c=8.2583 alpha=90.00 beta=90.00 gamma=90.00
Sites, in units of the cell vectors:
1 Ru 0.0000 0.0000 0.8316
2 Ru 0.0000 0.0000 0.1684
3 K 0.5000 0.5000 0.5000
4 Se 0.5000 0.5000 0.0000

Calculated values
The value obtained for the formation energy from raw total energies is 750 meV per atom. As for the space-group type: No. 123.


Per-record total moment, μB/f.u.: 3.3; 0.3; 0.0; 0.0; 0.0; 0.0; 0.0; 3.9; 2.8; 1.1; 0.0; 1.7